A geometry-optimized Zr3MnI structure, computed with PBE-GGA.

Results
* polymorph energy (0 for the lowest one): 0.779 eV/atom

Cell lengths 5.2325, 5.2325, 5.2325 Å; angles 90.00, 90.00, 90.00 degrees
Site moments in Bohr magnetons follow the coordinates.
Atoms (fractional coordinates):
Zr 0.0000 0.0000 0.5000  -0.13
Zr 0.5000 0.0000 0.0000  -0.35
I 0.0000 0.0000 0.0000  0.01
Zr 0.0000 0.5000 0.0000  -0.21
Mn 0.5000 0.5000 0.5000  4.24